{
  "formula": "CaPdO",
  "functional": "GGA-PBE",
  "state": "optimized geometry",
  "lattice": [[4.023, 0.000, 0.000], [0.000, 3.375, 0.000], [-0.078, 0.000, 7.260]],
  "species": ["Ca", "Ca", "Pd", "Pd", "O", "O"],
  "fractional_positions": [[0.000, 0.000, 0.000], [0.030, 0.000, 0.521], [0.499, 0.500, 0.194], [0.500, 0.500, 0.808], [0.452, 0.500, 0.477], [0.998, 0.500, 0.769]],
  "sg": "Pm (6)",
  "raw_formation_energy_ev_per_atom": -1.4273,
  "n_ef_per_ev_atom": 0.14
}



{
  "formula": "Dy3CdPd4",
  "functional": "GGA-PBE",
  "state": "optimized geometry",
  "lattice": [[4.890, 0.000, 0.000], [0.000, 4.890, 0.000], [0.000, 0.000, 6.857]],
  "species": ["Dy", "Dy", "Dy", "Cd", "Pd", "Pd", "Pd", "Pd"],
  "fractional_positions": [[0.000, 0.000, 0.000], [0.000, 0.000, 0.500], [0.500, 0.500, 0.000], [0.500, 0.500, 0.500], [0.000, 0.500, 0.247], [0.000, 0.500, 0.753], [0.500, 0.000, 0.247], [0.500, 0.000, 0.753]],
  "formation_enthalpy_0k_ev_per_atom": -0.804,
  "sg": "P4/mmm (123)",
  "n_ef_per_ev_atom": 0.39
}



{
  "formula": "Pm4Ag3Pd5",
  "functional": "GGA-PBE",
  "state": "optimized geometry",
  "lattice": [[6.810, -2.446, 0.000], [6.810, 2.446, 0.000], [-5.564, 0.000, 8.371]],
  "species": ["Pm", "Pm", "Pm", "Pm", "Ag", "Ag", "Ag", "Pd", "Pd", "Pd", "Pd", "Pd"],
  "fractional_positions": [[0.038, 0.038, 0.302], [0.246, 0.246, 0.734], [0.754, 0.754, 0.266], [0.962, 0.962, 0.698], [0.219, 0.219, 0.039], [0.500, 0.500, 0.000], [0.781, 0.781, 0.961], [0.000, 0.000, 0.000], [0.308, 0.308, 0.494], [0.428, 0.428, 0.342], [0.572, 0.572, 0.658], [0.692, 0.692, 0.506]],
  "formation_enthalpy_0k_ev_per_atom": -0.382,
  "sg": "C2/m (12)",
  "n_ef_per_ev_atom": 0.67
}



{
  "formula": "Li15Ca2Pb2",
  "functional": "GGA-PBE",
  "state": "optimized geometry",
  "lattice": [[4.979, 2.875, 4.871], [-4.979, 2.875, 4.871], [0.000, -5.749, 4.871]],
  "species": ["Li", "Li", "Li", "Li", "Li", "Li", "Li", "Li", "Li", "Li", "Li", "Li", "Li", "Li", "Li", "Ca", "Ca", "Pb", "Pb"],
  "fractional_positions": [[0.000, 0.000, 0.500], [0.000, 0.271, 0.729], [0.000, 0.500, 0.000], [0.000, 0.729, 0.271], [0.129, 0.644, 0.644], [0.271, 0.000, 0.729], [0.271, 0.729, 0.000], [0.356, 0.356, 0.871], [0.356, 0.871, 0.356], [0.500, 0.000, 0.000], [0.644, 0.129, 0.644], [0.644, 0.644, 0.129], [0.729, 0.000, 0.271], [0.729, 0.271, 0.000], [0.871, 0.356, 0.356], [0.351, 0.351, 0.351], [0.649, 0.649, 0.649], [0.117, 0.117, 0.117], [0.883, 0.883, 0.883]],
  "formation_enthalpy_0k_ev_per_atom": -0.092,
  "sg": "R-3m (166)",
  "n_ef_per_ev_atom": 0.49
}



{
  "formula": "RbSrMg2Rh",
  "functional": "GGA-PBE",
  "state": "optimized geometry",
  "lattice": [[5.352, 0.000, 0.000], [0.000, 5.352, 0.000], [0.000, 0.000, 5.698]],
  "species": ["Rb", "Sr", "Mg", "Mg", "Rh"],
  "fractional_positions": [[0.000, 0.000, 0.000], [0.500, 0.500, 0.000], [0.000, 0.500, 0.500], [0.500, 0.000, 0.500], [0.500, 0.500, 0.500]],
  "formation_enthalpy_0k_ev_per_atom": -0.071,
  "sg": "P4/mmm (123)",
  "n_ef_per_ev_atom": 0.63
}



{
  "formula": "Ir6RuRh",
  "functional": "GGA-PBE",
  "state": "optimized geometry",
  "lattice": [[3.860, 0.000, 0.000], [0.000, 3.860, 0.000], [0.000, 0.000, 7.727]],
  "species": ["Ir", "Ir", "Ir", "Ir", "Ir", "Ir", "Ru", "Rh"],
  "fractional_positions": [[0.000, 0.000, 0.000], [0.000, 0.000, 0.500], [0.000, 0.500, 0.248], [0.000, 0.500, 0.752], [0.500, 0.000, 0.248], [0.500, 0.000, 0.752], [0.500, 0.500, 0.000], [0.500, 0.500, 0.500]],
  "formation_enthalpy_0k_ev_per_atom": -0.038,
  "sg": "P4/mmm (123)",
  "n_ef_per_ev_atom": 0.87
}